No. 1
Ba2AlHg7: relaxed, PBE.

Cell and atoms, written as POSCAR:
```
Ba2AlHg7
1.0
4.796 0.000 0.000
0.000 4.796 0.000
0.000 0.000 12.692
Ba Al Hg
2 1 7
direct
0.500 0.000 0.755
0.000 0.500 0.245
0.500 0.500 0.000
0.000 0.500 0.875
0.500 0.000 0.355
0.500 0.000 0.125
0.000 0.500 0.645
0.000 0.000 0.500
0.000 0.000 0.000
0.500 0.500 0.500
```

Calculated values
**Crystal system**: tetragonal
**ΔE_f**: -307 meV/atom
**D(E_F)**: 0.520 states/eV/atom


No. 2
BeAgPd: relaxed, PBE.

Cell and atoms, written as POSCAR:
```
BeAgPd
1.0
-2.509 1.296 0.457
0.086 -0.802 2.745
3.609 3.983 -0.440
Be Pd Ag
1 1 1
direct
0.682 0.682 0.365
0.303 0.303 0.605
0.015 0.015 0.030
```

Calculated values
**Crystal system**: tetragonal
**ΔE_f**: -237 meV/atom
**D(E_F)**: 0.339 states/eV/atom


No. 3
Pm5Tl2S2: relaxed, PBE.

Cell and atoms, written as POSCAR:
```
Pm5Tl2S2
1.0
-1.538 -2.452 -2.696
7.069 -0.613 -3.476
2.460 -5.613 6.616
Pm Tl S
5 2 2
direct
0.126 0.580 0.249
0.691 0.167 0.383
0.309 0.833 0.617
0.874 0.420 0.751
0.000 0.000 0.000
0.529 0.320 0.057
0.471 0.680 0.943
0.157 0.928 0.314
0.843 0.072 0.686
```

Calculated values
**Crystal system**: triclinic
**Formation energy without anion corrections**: -0.865 eV/atom
**D(E_F)**: 0.961 states/eV/atom


No. 4
Sr2Ca7Ac: relaxed, PBE.

Cell and atoms, written as POSCAR:
```
Sr2Ca7Ac
1.0
-1.081 -2.779 2.396
4.814 -4.465 -3.008
8.920 7.155 12.324
Sr Ca Ac
2 7 1
direct
0.500 0.293 0.585
0.500 0.707 0.415
0.000 0.185 0.370
0.000 0.815 0.630
0.500 0.344 0.194
0.500 0.656 0.806
0.500 0.150 0.806
0.500 0.850 0.194
0.500 0.500 0.000
0.000 0.000 0.000
```

Calculated values
**Crystal system**: orthorhombic
**ΔE_f**: 88 meV/atom
**D(E_F)**: 1.456 states/eV/atom


No. 5
Ce2Ga3NiIr4: relaxed, PBE.

Cell and atoms, written as POSCAR:
```
Ce2Ga3NiIr4
1.0
4.090 0.000 0.000
0.000 4.090 0.000
0.000 0.000 10.826
Ce Ga Ni Ir
2 3 1 4
direct
0.500 0.000 0.257
0.000 0.500 0.743
0.000 0.000 0.500
0.500 0.000 0.869
0.000 0.500 0.131
0.500 0.500 0.500
0.500 0.500 0.000
0.000 0.000 0.000
0.500 0.000 0.642
0.000 0.500 0.358
```

Calculated values
**Crystal system**: tetragonal
**ΔE_f**: -591 meV/atom
**D(E_F)**: 1.244 states/eV/atom


No. 6
HgMo3I: relaxed, PBE.

Cell and atoms, written as POSCAR:
```
HgMo3I
1.0
5.030 0.000 0.000
0.000 5.030 0.000
0.000 0.000 5.030
I Mo Hg
1 3 1
direct
0.500 0.500 0.500
0.000 0.500 0.000
0.000 0.000 0.500
0.500 0.000 0.000
0.000 0.000 0.000
```

Calculated values
**Crystal system**: cubic
**Formation energy without anion corrections**: 2.628 eV/atom
**D(E_F)**: 1.985 states/eV/atom


No. 7
SrThIn2Se4: relaxed, PBE.

Cell and atoms, written as POSCAR:
```
SrThIn2Se4
1.0
4.387 0.000 0.000
0.000 8.089 -0.346
0.000 2.665 7.104
Sr Th In Se
1 1 2 4
direct
0.500 0.500 0.000
0.000 0.500 0.500
0.000 0.000 0.000
0.500 0.000 0.500
0.000 0.717 0.739
0.000 0.283 0.261
0.500 0.714 0.280
0.500 0.286 0.720
```

Calculated values
**Crystal system**: monoclinic
**Formation energy without anion corrections**: -1.250 eV/atom


No. 8
GaTe2PtN: relaxed, PBE.

Cell and atoms, written as POSCAR:
```
GaTe2PtN
1.0
-4.725 1.637 2.400
0.721 -3.779 3.996
1.755 2.317 1.875
Te Ga Pt N
2 1 1 1
direct
0.000 0.500 0.000
0.500 0.000 0.000
0.000 0.000 0.000
0.500 0.500 0.500
0.000 0.000 0.500
```

Calculated values
**Crystal system**: tetragonal
**Formation energy without anion corrections**: 0.804 eV/atom
**D(E_F)**: 0.669 states/eV/atom